Entry 1:
Below is a geometry-optimized BaTl6Ag6 structure, with properties calculated at the PBE level.

Cell and atoms, written as CIF:
```
data_BaTl6Ag6
_chemical_formula_sum 'Ba2 Tl12 Ag12'
_cell_length_a 5.967
_cell_length_b 10.233
_cell_length_c 10.484
_cell_angle_alpha 90.00
_cell_angle_beta 90.00
_cell_angle_gamma 90.00
_space_group_name_H-M_alt 'I m m m'
_space_group_IT_number 71
_space_group_name_Hall '-I 2 2'
loop_
_atom_site_label
_atom_site_fract_x
_atom_site_fract_y
_atom_site_fract_z
Ba1 0.000 0.000 0.000
Tl1 0.000 0.000 0.349
Tl2 0.000 0.307 0.500
Tl3 0.000 0.349 0.000
Ag1 0.000 0.500 0.268
Ag2 0.250 0.250 0.250
```

Calculated values
- spin magnetization (μB/atom) = 0.00
- DFT formation energy (meV per atom) = -43
- DOS(E_F) (states/eV/f.u.) = 4.0

=====

Entry 2:
Below is a geometry-optimized Ba2TlAg2 structure, with properties calculated at the PBE level.

Cell and atoms, written as CIF:
```
data_Ba2TlAg2
_chemical_formula_sum 'Ba4 Tl2 Ag4'
_cell_length_a 4.676
_cell_length_b 16.541
_cell_length_c 4.407
_cell_angle_alpha 90.00
_cell_angle_beta 90.00
_cell_angle_gamma 90.00
_space_group_name_H-M_alt 'C m m m'
_space_group_IT_number 65
_space_group_name_Hall '-C 2 2'
loop_
_atom_site_label
_atom_site_fract_x
_atom_site_fract_y
_atom_site_fract_z
Ba1 0.000 0.125 0.000
Tl1 0.000 0.500 0.500
Ag1 0.000 0.299 0.500
```

Calculated values
- spin magnetization (μB/atom) = 0.00
- DFT formation energy (meV per atom) = -309
- DOS(E_F) (states/eV/f.u.) = 2.8

=====

Entry 3:
Below is a geometry-optimized Ba2Tl6Ag3 structure, with properties calculated at the PBE level.

Cell and atoms, written as CIF:
```
data_Ba2Tl6Ag3
_chemical_formula_sum 'Ba2 Tl6 Ag3'
_cell_length_a 8.9717
_cell_length_b 8.9717
_cell_length_c 4.8971
_cell_angle_alpha 90.00
_cell_angle_beta 90.00
_cell_angle_gamma 120.00
_space_group_name_H-M_alt 'P -6 2 m'
_space_group_IT_number 189
_space_group_name_Hall 'P -6 -2'
loop_
_atom_site_label
_atom_site_fract_x
_atom_site_fract_y
_atom_site_fract_z
Ba1 0.3333 0.6667 0.0000
Tl1 0.0000 0.2025 0.0000
Tl2 0.0000 0.6933 0.5000
Ag1 0.0000 0.3710 0.5000
```

Calculated values
- spin magnetization (μB/atom) = 0.00
- DFT formation energy (meV per atom) = -154
- DOS(E_F) (states/eV/f.u.) = 7.2

=====

Entry 4:
Below is a geometry-optimized Ba2Tl6Ag structure, with properties calculated at the PBE level.

Cell and atoms, written as CIF:
```
data_Ba2Tl6Ag
_chemical_formula_sum 'Ba4 Tl12 Ag2'
_cell_length_a 12.202
_cell_length_b 7.026
_cell_length_c 6.701
_cell_angle_alpha 90.00
_cell_angle_beta 90.06
_cell_angle_gamma 90.00
_space_group_name_H-M_alt 'C 1 2/m 1'
_space_group_IT_number 12
loop_
_space_group_symop_operation_xyz
'x,y,z'
'-x,-y,-z'
'-x,y,-z'
'x,-y,z'
'x+1/2,y+1/2,z'
'-x+1/2,-y+1/2,-z'
'-x+1/2,y+1/2,-z'
'x+1/2,-y+1/2,z'
loop_
_atom_site_label
_atom_site_fract_x
_atom_site_fract_y
_atom_site_fract_z
Ba1 0.167 0.000 0.162
Tl1 0.087 0.239 0.681
Tl2 0.174 0.500 0.320
Ag1 0.000 0.500 0.000
```

Calculated values
- spin magnetization (μB/atom) = 0.00
- DFT formation energy (meV per atom) = -236
- DOS(E_F) (states/eV/f.u.) = 6.3

=====

Entry 5:
Below is a geometry-optimized BaTlAg3 structure, with properties calculated at the PBE level.

Cell and atoms, written as CIF:
```
data_BaTlAg3
_chemical_formula_sum 'Ba1 Tl1 Ag3'
_cell_length_a 6.246
_cell_length_b 6.246
_cell_length_c 6.246
_cell_angle_alpha 90.00
_cell_angle_beta 90.00
_cell_angle_gamma 90.00
_space_group_name_H-M_alt 'P m -3 m'
_space_group_IT_number 221
_space_group_name_Hall '-P 4 2 3'
loop_
_atom_site_label
_atom_site_fract_x
_atom_site_fract_y
_atom_site_fract_z
Ba1 0.000 0.000 0.000
Tl1 0.500 0.500 0.500
Ag1 0.000 0.000 0.500
```

Calculated values
- spin magnetization (μB/atom) = 0.00
- DFT formation energy (meV per atom) = 691
- DOS(E_F) (states/eV/f.u.) = 0.0

=====

Entry 6:
Below is a geometry-optimized Ba2Tl3Ag2 structure, with properties calculated at the PBE level.

Cell and atoms, written as CIF:
```
data_Ba2Tl3Ag2
_chemical_formula_sum 'Ba4 Tl6 Ag4'
_cell_length_a 11.978
_cell_length_b 4.692
_cell_length_c 8.117
_cell_angle_alpha 90.00
_cell_angle_beta 98.67
_cell_angle_gamma 90.00
_space_group_name_H-M_alt 'C 1 2/m 1'
_space_group_IT_number 12
loop_
_space_group_symop_operation_xyz
'x,y,z'
'-x,-y,-z'
'-x,y,-z'
'x,-y,z'
'x+1/2,y+1/2,z'
'-x+1/2,-y+1/2,-z'
'-x+1/2,y+1/2,-z'
'x+1/2,-y+1/2,z'
loop_
_atom_site_label
_atom_site_fract_x
_atom_site_fract_y
_atom_site_fract_z
Ba1 0.122 0.000 0.328
Tl1 0.000 0.500 0.000
Tl2 0.193 0.000 0.863
Ag1 0.083 0.500 0.649
```

Calculated values
- spin magnetization (μB/atom) = 0.00
- DFT formation energy (meV per atom) = -246
- DOS(E_F) (states/eV/f.u.) = 3.8

=====

Entry 7:
Below is a geometry-optimized BaTl4Ag2 structure, with properties calculated at the PBE level.

Cell and atoms, written as CIF:
```
data_BaTl4Ag2
_chemical_formula_sum 'Ba2 Tl8 Ag4'
_cell_length_a 5.076
_cell_length_b 16.315
_cell_length_c 5.018
_cell_angle_alpha 90.00
_cell_angle_beta 90.00
_cell_angle_gamma 90.00
_space_group_name_H-M_alt 'C m m m'
_space_group_IT_number 65
_space_group_name_Hall '-C 2 2'
loop_
_atom_site_label
_atom_site_fract_x
_atom_site_fract_y
_atom_site_fract_z
Ba1 0.000 0.000 0.000
Tl1 0.000 0.179 0.500
Tl2 0.000 0.316 0.000
Ag1 0.000 0.417 0.500
```

Calculated values
- spin magnetization (μB/atom) = 0.00
- DFT formation energy (meV per atom) = -134
- DOS(E_F) (states/eV/f.u.) = 3.7

=====

Entry 8:
Below is a geometry-optimized Ba2Tl5Ag4 structure, with properties calculated at the PBE level.

Cell and atoms, written as CIF:
```
data_Ba2Tl5Ag4
_chemical_formula_sum 'Ba4 Tl10 Ag8'
_cell_length_a 6.485
_cell_length_b 9.686
_cell_length_c 10.019
_cell_angle_alpha 90.00
_cell_angle_beta 90.00
_cell_angle_gamma 90.00
_space_group_name_H-M_alt 'I m m m'
_space_group_IT_number 71
_space_group_name_Hall '-I 2 2'
loop_
_atom_site_label
_atom_site_fract_x
_atom_site_fract_y
_atom_site_fract_z
Ba1 0.000 0.000 0.220
Tl1 0.000 0.500 0.500
Tl2 0.249 0.312 0.000
Ag1 0.000 0.347 0.250
```

Calculated values
- spin magnetization (μB/atom) = 0.00
- DFT formation energy (meV per atom) = -130
- DOS(E_F) (states/eV/f.u.) = 7.0

=====

Entry 9:
Below is a geometry-optimized Ba2Tl7Ag structure, with properties calculated at the PBE level.

Cell and atoms, written as CIF:
```
data_Ba2Tl7Ag
_chemical_formula_sum 'Ba2 Tl7 Ag1'
_cell_length_a 5.181
_cell_length_b 5.181
_cell_length_c 12.487
_cell_angle_alpha 90.00
_cell_angle_beta 90.00
_cell_angle_gamma 90.00
_space_group_name_H-M_alt 'P -4 m 2'
_space_group_IT_number 115
loop_
_space_group_symop_operation_xyz
'x,y,z'
'y,-x,-z'
'-x,-y,z'
'-y,x,-z'
'-x,y,z'
'-y,-x,-z'
'x,-y,z'
'y,x,-z'
loop_
_atom_site_label
_atom_site_fract_x
_atom_site_fract_y
_atom_site_fract_z
Ba1 0.000 0.500 0.240
Tl1 0.000 0.000 0.000
Tl2 0.000 0.000 0.500
Tl3 0.000 0.500 0.642
Tl4 0.000 0.500 0.879
Tl5 0.500 0.500 0.500
Ag1 0.500 0.500 0.000
```

Calculated values
- spin magnetization (μB/atom) = 0.00
- DFT formation energy (meV per atom) = -195
- DOS(E_F) (states/eV/f.u.) = 4.9

=====

Entry 10:
Below is a geometry-optimized BaTlAg structure, with properties calculated at the PBE level.

Cell and atoms, written as CIF:
```
data_BaTlAg
_chemical_formula_sum 'Ba4 Tl4 Ag4'
_cell_length_a 7.851
_cell_length_b 7.851
_cell_length_c 7.851
_cell_angle_alpha 90.00
_cell_angle_beta 90.00
_cell_angle_gamma 90.00
_space_group_name_H-M_alt 'F -4 3 m'
_space_group_IT_number 216
_space_group_name_Hall 'F -4 2 3'
loop_
_atom_site_label
_atom_site_fract_x
_atom_site_fract_y
_atom_site_fract_z
Ba1 0.000 0.000 0.000
Tl1 0.250 0.250 0.750
Ag1 0.250 0.250 0.250
```

Calculated values
- spin magnetization (μB/atom) = 0.00
- DFT formation energy (meV per atom) = 173
- DOS(E_F) (states/eV/f.u.) = 3.6

=====

Entry 11:
Below is a geometry-optimized BaTlAg5 structure, with properties calculated at the PBE level.

Cell and atoms, written as CIF:
```
data_BaTlAg5
_chemical_formula_sum 'Ba4 Tl4 Ag20'
_cell_length_a 9.477
_cell_length_b 5.907
_cell_length_c 11.809
_cell_angle_alpha 90.00
_cell_angle_beta 90.00
_cell_angle_gamma 90.00
_space_group_name_H-M_alt 'P n m a'
_space_group_IT_number 62
loop_
_space_group_symop_operation_xyz
'x,y,z'
'-x,-y,-z'
'-x+1/2,-y,z+1/2'
'x+1/2,y,-z+1/2'
'x+1/2,-y+1/2,-z+1/2'
'-x+1/2,y+1/2,z+1/2'
'-x,y+1/2,-z'
'x,-y+1/2,z'
loop_
_atom_site_label
_atom_site_fract_x
_atom_site_fract_y
_atom_site_fract_z
Ba1 0.239 0.250 0.063
Tl1 0.140 0.750 0.861
Ag1 0.067 0.750 0.103
Ag2 0.069 0.003 0.312
Ag3 0.088 0.250 0.518
Ag4 0.180 0.250 0.752
```

Calculated values
- spin magnetization (μB/atom) = 0.00
- DFT formation energy (meV per atom) = -138
- DOS(E_F) (states/eV/f.u.) = 3.0

=====

Entry 12:
Below is a geometry-optimized BaTl5Ag2 structure, with properties calculated at the PBE level.

Cell and atoms, written as CIF:
```
data_BaTl5Ag2
_chemical_formula_sum 'Ba2 Tl10 Ag4'
_cell_length_a 4.776
_cell_length_b 8.548
_cell_length_c 11.593
_cell_angle_alpha 90.00
_cell_angle_beta 90.00
_cell_angle_gamma 90.00
_space_group_name_H-M_alt 'I m m m'
_space_group_IT_number 71
_space_group_name_Hall '-I 2 2'
loop_
_atom_site_label
_atom_site_fract_x
_atom_site_fract_y
_atom_site_fract_z
Ba1 0.000 0.000 0.000
Tl1 0.000 0.194 0.355
Tl2 0.000 0.500 0.000
Ag1 0.000 0.500 0.252
```

Calculated values
- spin magnetization (μB/atom) = 0.00
- DFT formation energy (meV per atom) = -91
- DOS(E_F) (states/eV/f.u.) = 4.3

=====

Q: Among the records above, which one has the highest DFT formation energy?
A: BaTlAg3